<i>
DFT (meta-GGA SCAN) results for a PBEsol-optimized structure of ZnCrBr2.

a = 4.8670 Å, b = 4.8670 Å, c = 4.8670 Å
α = 60.00°, β = 60.00°, γ = 60.00°
Positions (direct):
Zn1 0.0000 0.0000 0.0000
Cr1 0.5000 0.5000 0.5000
Br1 0.2500 0.2500 0.2500
Br2 0.7500 0.7500 0.7500


<ii>
DFT (meta-GGA SCAN) results for a PBEsol-optimized structure of ZnCrBr2.

a = 3.7810 Å, b = 3.4836 Å, c = 8.3602 Å
α = 90.00°, β = 98.90°, γ = 90.00°
Positions (direct):
Zn1 0.0000 0.0000 0.0000
Cr1 0.5000 0.0000 0.5000
Br1 0.3581 0.5000 0.6901
Br2 0.6419 0.5000 0.3099


Q: Which of them is the most stable? A: <ii>.


<i>
DFT (meta-GGA SCAN) results for a PBEsol-optimized structure of CsBrF2.

a = 8.4187 Å, b = 8.4187 Å, c = 8.4187 Å
α = 145.22°, β = 145.22°, γ = 50.00°
Positions (direct):
Cs1 0.0000 0.0000 0.0000
Cs2 0.7500 0.2500 0.5000
Br1 0.2500 0.7500 0.5000
Br2 0.5000 0.5000 0.0000
F1 0.2720 0.6250 0.1470
F2 0.3750 0.5220 0.6470
F3 0.4780 0.1250 0.8530
F4 0.8750 0.7280 0.3530


<ii>
DFT (meta-GGA SCAN) results for a PBEsol-optimized structure of CsBrF2.

a = 6.5941 Å, b = 6.5941 Å, c = 6.5941 Å
α = 43.18°, β = 43.18°, γ = 43.18°
Positions (direct):
Cs1 0.0000 0.0000 0.0000
Br1 0.5000 0.5000 0.5000
F1 0.3897 0.3897 0.3897
F2 0.6103 0.6103 0.6103


Q: Which of them is the most stable? A: <ii>.


<i>
DFT (meta-GGA SCAN) results for a PBEsol-optimized structure of CsInBr2.

a = 9.6188 Å, b = 9.6188 Å, c = 9.6188 Å
α = 135.27°, β = 135.27°, γ = 65.12°
Positions (direct):
Cs1 0.0000 0.0000 0.0000
Cs2 0.7500 0.2500 0.5000
In1 0.2500 0.7500 0.5000
In2 0.5000 0.5000 0.0000
Br1 0.1695 0.6250 0.0445
Br2 0.3750 0.4195 0.5445
Br3 0.5805 0.1250 0.9555
Br4 0.8750 0.8305 0.4555


<ii>
DFT (meta-GGA SCAN) results for a PBEsol-optimized structure of CsInBr2.

a = 5.7448 Å, b = 5.7448 Å, c = 5.7448 Å
α = 60.00°, β = 60.00°, γ = 60.00°
Positions (direct):
Cs1 0.0000 0.0000 0.0000
In1 0.5000 0.5000 0.5000
Br1 0.2500 0.2500 0.2500
Br2 0.7500 0.7500 0.7500


Q: Which of them is the most stable? A: <ii>.